Entry 1:
# PBE-GGA CaLa2Rh, relaxed
data_CaLa2Rh
_chemical_formula_sum 'Ca2 La4 Rh2'
_symmetry_space_group_name_H-M 'P 1'
_symmetry_Int_Tables_number 1
_cell_length_a 8.905
_cell_length_b 8.905
_cell_length_c 7.111
_cell_angle_alpha 51.23
_cell_angle_beta 51.23
_cell_angle_gamma 90.00
loop_
_symmetry_equiv_pos_as_xyz
'x,y,z'
loop_
_atom_site_label
_atom_site_fract_x
_atom_site_fract_y
_atom_site_fract_z
_atom_site_occupancy
Ca1 0.500 0.500 0.000 1
Ca2 0.250 0.750 0.500 1
Rh1 0.000 0.000 0.000 1
Rh2 0.750 0.250 0.500 1
La1 0.710 0.125 0.250 1
La2 0.040 0.625 0.250 1
La3 0.375 0.290 0.750 1
La4 0.875 0.960 0.750 1
# Calculated total energy: -5.018 eV per atom
# Size of the total moment: 0.0 μB per formula unit

=====

Entry 2:
# PBE-GGA TmLuGa, relaxed
data_TmLuGa
_chemical_formula_sum 'Tm1 Lu1 Ga1'
_symmetry_space_group_name_H-M 'P 1'
_symmetry_Int_Tables_number 1
_cell_length_a 4.877
_cell_length_b 4.877
_cell_length_c 4.877
_cell_angle_alpha 60.00
_cell_angle_beta 60.00
_cell_angle_gamma 60.00
loop_
_symmetry_equiv_pos_as_xyz
'x,y,z'
loop_
_atom_site_label
_atom_site_fract_x
_atom_site_fract_y
_atom_site_fract_z
_atom_site_occupancy
Lu1 0.500 0.500 0.500 1
Tm1 0.000 0.000 0.000 1
Ga1 0.250 0.250 0.250 1
# Calculated total energy: -4.259 eV per atom
# Size of the total moment: 0.0 μB per formula unit

=====

Entry 3:
# PBE-GGA KLi2UBr8, relaxed
data_KLi2UBr8
_chemical_formula_sum 'K1 Li2 U1 Br8'
_symmetry_space_group_name_H-M 'P 1'
_symmetry_Int_Tables_number 1
_cell_length_a 6.822
_cell_length_b 6.754
_cell_length_c 9.643
_cell_angle_alpha 89.99
_cell_angle_beta 89.99
_cell_angle_gamma 79.82
loop_
_symmetry_equiv_pos_as_xyz
'x,y,z'
loop_
_atom_site_label
_atom_site_fract_x
_atom_site_fract_y
_atom_site_fract_z
_atom_site_occupancy
K1 0.000 0.000 0.500 1
Li1 0.500 0.500 0.659 1
Li2 0.500 0.500 0.341 1
U1 0.000 0.000 0.000 1
Br1 0.209 0.769 0.201 1
Br2 0.733 0.760 0.000 1
Br3 0.791 0.231 0.201 1
Br4 0.791 0.231 0.799 1
Br5 0.267 0.240 0.000 1
Br6 0.209 0.769 0.799 1
Br7 0.680 0.688 0.500 1
Br8 0.320 0.312 0.500 1
# ΔE_f (raw): -1.372 eV per atom
# Size of the total moment: 1.0 μB per formula unit

=====

Entry 4:
# PBE-GGA Er5BeTe4, relaxed
data_Er5BeTe4
_chemical_formula_sum 'Er5 Be1 Te4'
_symmetry_space_group_name_H-M 'P 1'
_symmetry_Int_Tables_number 1
_cell_length_a 6.021
_cell_length_b 7.409
_cell_length_c 7.409
_cell_angle_alpha 80.50
_cell_angle_beta 66.03
_cell_angle_gamma 66.03
loop_
_symmetry_equiv_pos_as_xyz
'x,y,z'
loop_
_atom_site_label
_atom_site_fract_x
_atom_site_fract_y
_atom_site_fract_z
_atom_site_occupancy
Er1 0.907 0.358 0.829 1
Er2 0.265 0.829 0.642 1
Er3 0.737 0.171 0.358 1
Er4 0.095 0.642 0.171 1
Er5 0.501 0.000 0.000 1
Be1 0.002 0.000 0.000 1
Te1 0.413 0.396 0.779 1
Te2 0.809 0.779 0.604 1
Te3 0.193 0.221 0.396 1
Te4 0.589 0.604 0.221 1
# ΔE_f (raw): -1.004 eV per atom
# Size of the total moment: 0.0 μB per formula unit

=====

Entry 5:
# PBE-GGA CePrNdHo, relaxed
data_CePrNdHo
_chemical_formula_sum 'Ce1 Pr1 Nd1 Ho1'
_symmetry_space_group_name_H-M 'P 1'
_symmetry_Int_Tables_number 1
_cell_length_a 5.767
_cell_length_b 5.767
_cell_length_c 5.767
_cell_angle_alpha 60.00
_cell_angle_beta 60.00
_cell_angle_gamma 60.00
loop_
_symmetry_equiv_pos_as_xyz
'x,y,z'
loop_
_atom_site_label
_atom_site_fract_x
_atom_site_fract_y
_atom_site_fract_z
_atom_site_occupancy
Pr1 0.250 0.250 0.250 1
Nd1 0.750 0.750 0.750 1
Ho1 0.000 0.000 0.000 1
Ce1 0.500 0.500 0.500 1
# Calculated total energy: -4.816 eV per atom
# Size of the total moment: 3.2 μB per formula unit

=====

Entry 6:
# PBE-GGA CrAg2C2, relaxed
data_CrAg2C2
_chemical_formula_sum 'Cr2 Ag4 C4'
_symmetry_space_group_name_H-M 'P 1'
_symmetry_Int_Tables_number 1
_cell_length_a 5.546
_cell_length_b 5.546
_cell_length_c 4.346
_cell_angle_alpha 90.00
_cell_angle_beta 90.00
_cell_angle_gamma 90.00
loop_
_symmetry_equiv_pos_as_xyz
'x,y,z'
loop_
_atom_site_label
_atom_site_fract_x
_atom_site_fract_y
_atom_site_fract_z
_atom_site_occupancy
Cr1 0.000 0.000 0.000 1
Cr2 0.500 0.500 0.000 1
C1 0.250 0.750 0.000 1
C2 0.750 0.750 0.000 1
C3 0.750 0.250 0.000 1
C4 0.250 0.250 0.000 1
Ag1 0.250 0.750 0.500 1
Ag2 0.750 0.750 0.500 1
Ag3 0.750 0.250 0.500 1
Ag4 0.250 0.250 0.500 1
# Calculated total energy: -5.717 eV per atom
# Size of the total moment: 0.0 μB per formula unit

=====

Entry 7:
# PBE-GGA Tb5Nd4Er2, relaxed
data_Tb5Nd4Er2
_chemical_formula_sum 'Tb5 Nd4 Er2'
_symmetry_space_group_name_H-M 'P 1'
_symmetry_Int_Tables_number 1
_cell_length_a 7.450
_cell_length_b 6.688
_cell_length_c 10.096
_cell_angle_alpha 62.68
_cell_angle_beta 68.35
_cell_angle_gamma 56.15
loop_
_symmetry_equiv_pos_as_xyz
'x,y,z'
loop_
_atom_site_label
_atom_site_fract_x
_atom_site_fract_y
_atom_site_fract_z
_atom_site_occupancy
Tb1 0.207 0.367 0.777 1
Tb2 0.793 0.633 0.223 1
Tb3 0.000 0.500 0.500 1
Tb4 0.649 0.367 0.777 1
Tb5 0.351 0.633 0.223 1
Nd1 0.310 0.882 0.499 1
Nd2 0.690 0.118 0.501 1
Nd3 0.670 0.778 0.881 1
Nd4 0.330 0.222 0.119 1
Er1 0.141 0.842 0.877 1
Er2 0.859 0.158 0.123 1
# Calculated total energy: -4.556 eV per atom
# Size of the total moment: 0.0 μB per formula unit

=====

Entry 8:
# PBE-GGA CdCo2P, relaxed
data_CdCo2P
_chemical_formula_sum 'Cd1 Co2 P1'
_symmetry_space_group_name_H-M 'P 1'
_symmetry_Int_Tables_number 1
_cell_length_a 4.807
_cell_length_b 4.807
_cell_length_c 4.807
_cell_angle_alpha 135.32
_cell_angle_beta 135.32
_cell_angle_gamma 65.03
loop_
_symmetry_equiv_pos_as_xyz
'x,y,z'
loop_
_atom_site_label
_atom_site_fract_x
_atom_site_fract_y
_atom_site_fract_z
_atom_site_occupancy
Cd1 0.750 0.250 0.500 1
Co1 0.000 0.000 0.000 1
Co2 0.250 0.750 0.500 1
P1 0.500 0.500 0.000 1
# Calculated total energy: -4.769 eV per atom
# Size of the total moment: 2.2 μB per formula unit